ZrVRe | GGA-PBE | optimized geometry

Unit cell a=5.489 b=5.489 c=5.489 alpha=146.56 beta=146.56 gamma=48.01
Sites, in units of the cell vectors:
1 Zr 0.000 0.000 0.000
2 V 0.685 0.685 0.000
3 Re 0.319 0.319 0.000

Calculated values
symmetry	I4mm
offset from the most stable computed form	212	meV per atom
density	10902	kg/m3
formation energy	-156	meV per atom
total DFT energy (no corrections)	-10.19	eV/atom